The following is a DFT calculation (SCAN) of BaBeP2Au at its PBEsol-relaxed geometry.

Results
V	22.18	Å³/atom
N(E_F)	1.6	states/eV/f.u.
ΔH_f (0 K)	0.0648	eV/atom
space group	No. 123
M_tot	0.000	μB/atom

Structure (POSCAR):
```
BaBeP2Au
1.0
4.289 0.000 0.000
0.000 4.289 0.000
0.000 0.000 6.027
P Au Ba Be
2 1 1 1
Cartesian
0.000 2.145 0.000
2.145 0.000 0.000
2.145 2.145 3.014
0.000 0.000 3.014
0.000 0.000 0.000
```

The following is a DFT calculation (SCAN) of BaBeW2Au at its PBEsol-relaxed geometry.

Results
V	22.53	Å³/atom
N(E_F)	4.5	states/eV/f.u.
ΔH_f (0 K)	1.6736	eV/atom
space group	No. 123
M_tot	0.431	μB/atom

Structure (POSCAR):
```
BaBeW2Au
1.0
4.388 0.000 0.000
0.000 5.066 0.000
0.000 0.000 5.066
Be Au Ba W
1 1 1 2
Cartesian
2.194 0.000 0.000
0.000 0.000 0.000
2.194 2.533 2.533
0.000 0.000 2.533
0.000 2.533 0.000
```

The following is a DFT calculation (SCAN) of Ba2BiAu2 at its PBEsol-relaxed geometry.

Results
V	30.91	Å³/atom
N(E_F)	2.5	states/eV/f.u.
ΔH_f (0 K)	-0.8690	eV/atom
space group	No. 127
M_tot	0.000	μB/atom

Structure (POSCAR):
```
Ba2BiAu2
1.0
-3.500 -1.412 1.556
3.458 -7.966 0.549
2.846 1.789 8.027
Au Bi Ba
4 2 4
Cartesian
3.857 -1.491 7.324
4.812 -5.960 5.415
2.448 -4.687 1.252
1.493 -0.217 3.161
0.000 0.000 0.000
3.152 -3.089 4.288
0.815 -0.930 6.344
2.936 -4.667 7.725
1.990 -6.659 3.787
-0.132 -2.923 2.406
```

The following is a DFT calculation (SCAN) of BaBi2Au2 at its PBEsol-relaxed geometry.

Results
V	29.22	Å³/atom
N(E_F)	1.7	states/eV/f.u.
ΔH_f (0 K)	-0.5465	eV/atom
space group	No. 139
M_tot	0.000	μB/atom

Structure (POSCAR):
```
BaBi2Au2
1.0
5.168 0.000 0.000
0.000 5.168 0.000
-2.584 -2.584 5.469
Au Bi Ba
2 2 1
Cartesian
0.000 2.584 2.735
2.584 0.000 2.735
0.000 0.000 3.952
2.584 2.584 1.517
0.000 0.000 0.000
```

The following is a DFT calculation (SCAN) of Ba2BiAu at its PBEsol-relaxed geometry.

Results
V	50.60	Å³/atom
ΔH_f (0 K)	-0.5662	eV/atom
space group	No. 122
M_tot	0.000	μB/atom

Structure (POSCAR):
```
Ba2BiAu
1.0
6.724 0.000 0.000
0.000 6.724 0.000
-3.362 -3.362 8.953
Au Bi Ba
2 2 4
Cartesian
3.362 0.000 4.476
3.362 3.362 0.000
0.000 3.362 4.476
0.000 0.000 0.000
1.807 5.043 2.238
4.917 1.681 2.238
-1.681 -1.555 6.715
1.681 1.555 6.715
```

The following is a DFT calculation (SCAN) of BaBi3Au at its PBEsol-relaxed geometry.

Results
V	46.64	Å³/atom
N(E_F)	6.2	states/eV/f.u.
ΔH_f (0 K)	1.3006	eV/atom
space group	No. 221
M_tot	0.000	μB/atom

Structure (POSCAR):
```
BaBi3Au
1.0
6.155 0.000 0.000
0.000 6.155 0.000
0.000 0.000 6.155
Au Bi Ba
1 3 1
Cartesian
3.078 3.078 3.078
0.000 3.078 0.000
0.000 0.000 3.078
3.078 0.000 0.000
0.000 0.000 0.000
```